First-principles (PBE) data for crystalline MgAuCl2 at its relaxed geometry, as listed in Alexandria via LeMat-Bulk.

a = 8.3012 Å, b = 8.3012 Å, c = 8.3012 Å
α = 27.53°, β = 27.53°, γ = 27.53°
Last column: nearest neighbours and their distance in Å.
Positions (direct):
Cl (0.8993, 0.8993, 0.8993)  1 Mg 2.41
Au (0.5000, 0.5000, 0.5000)  6 Cl 2.77
Mg (0.0000, 0.0000, 0.0000)  2 Cl 2.41
Cl (0.1007, 0.1007, 0.1007)  1 Mg 2.41

Properties
The uncorrected formation energy is -0.26 eV/atom. The total DFT energy (no corrections) comes out at -0.1763 Ry per atom.


First-principles (PBE) data for crystalline Ac2Pr5YTm at its relaxed geometry, as listed in Alexandria via LeMat-Bulk.

a = 5.6497 Å, b = 11.7428 Å, c = 10.5032 Å
α = 90.00°, β = 90.00°, γ = 103.92°
Last column: nearest neighbours and their distance in Å.
Positions (direct):
Ac (0.8838, 0.7677, 0.2474)  1 Tm 3.59, 9 Pr 3.69-3.87, 2 Y 3.95
Pr (0.6225, 0.2450, 0.5082)  1 Tm 3.64, 4 Ac 3.78, 6 Pr 3.83-4.01
Y (0.3969, 0.7938, 0.5084)  6 Pr 3.36-3.64
Pr (0.7220, 0.4441, 0.8191)  2 Pr 3.35, 1 Y 3.36, 3 Tm 3.45-3.54, 1 Ac 3.72
Pr (0.7223, 0.4446, 0.1969)  2 Pr 3.35, 1 Y 3.36, 3 Tm 3.45-3.54, 1 Ac 3.72
Ac (0.1162, 0.2323, 0.7474)  1 Tm 3.59, 9 Pr 3.69-3.87, 2 Y 3.95
Pr (0.5000, 0.0000, 0.2584)  2 Y 3.52, 6 Pr 3.83-3.86, 4 Ac 3.87-3.88
Pr (0.3775, 0.7550, 0.0082)  1 Tm 3.64, 4 Ac 3.78, 6 Pr 3.83-4.01
Pr (0.5000, 0.0000, 0.7584)  2 Y 3.52, 6 Pr 3.83-3.86, 4 Ac 3.87-3.88
Ac (0.1164, 0.2328, 0.2693)  1 Tm 3.59, 9 Pr 3.70-3.88, 2 Y 3.95
Pr (0.9974, 0.9948, 0.5083)  2 Y 3.64, 4 Ac 3.69-3.77, 6 Pr 3.86-4.01
Pr (0.2780, 0.5559, 0.3191)  2 Pr 3.35, 1 Y 3.36, 3 Tm 3.45-3.54, 1 Ac 3.72
Pr (0.2777, 0.5554, 0.6969)  2 Pr 3.35, 1 Y 3.36, 3 Tm 3.45-3.54, 1 Ac 3.72
Y (0.6031, 0.2062, 0.0084)  6 Pr 3.36-3.64
Tm (0.2178, 0.4356, 0.0081)  7 Pr 3.45-3.64, 2 Ac 3.59, 2 Y 3.85
Tm (0.7822, 0.5644, 0.5081)  7 Pr 3.45-3.64, 2 Ac 3.59, 2 Y 3.85
Pr (0.0026, 0.0052, 0.0083)  2 Y 3.64, 4 Ac 3.69-3.77, 6 Pr 3.86-4.01
Ac (0.8836, 0.7672, 0.7693)  1 Tm 3.59, 9 Pr 3.70-3.88, 2 Y 3.95

Properties
As for the formation energy from the elements: 108.7 meV per atom. The total DFT energy (no corrections) comes out at -0.3436 Ry per atom.


First-principles (PBE) data for crystalline AcCePrIn at its relaxed geometry, as listed in Alexandria via LeMat-Bulk.

a = 5.6975 Å, b = 5.6975 Å, c = 5.6975 Å
α = 60.00°, β = 60.00°, γ = 60.00°
Last column: nearest neighbours and their distance in Å.
Positions (direct):
Ac (0.7500, 0.7500, 0.7500)  4 Ce 3.49, 4 Pr 3.49
In (0.2500, 0.2500, 0.2500)  4 Pr 3.49, 4 Ce 3.49
Ce (0.0000, 0.0000, 0.0000)  4 In 3.49, 4 Ac 3.49
Pr (0.5000, 0.5000, 0.5000)  4 Ac 3.49, 4 In 3.49

Properties
As for the formation energy from the elements: -31.6 meV per atom. The total DFT energy (no corrections) comes out at -0.3250 Ry per atom.


First-principles (PBE) data for crystalline TaBeAs2 at its relaxed geometry, as listed in Alexandria via LeMat-Bulk.

a = 3.3361 Å, b = 3.3469 Å, c = 6.0149 Å
α = 67.79°, β = 90.00°, γ = 90.00°
Last column: nearest neighbours and their distance in Å.
Positions (direct):
As (0.0000, 0.0726, 0.0062)  2 Be 2.44
Be (0.5000, 0.2500, 0.2500)  4 As 2.44
As (0.0000, 0.4274, 0.4938)  2 Be 2.44
Ta (0.5000, 0.7500, 0.7500)  8 As 2.75-2.77, 2 Be 2.84

Properties
As for the formation energy from the elements: -23.8 meV per atom. The total DFT energy (no corrections) comes out at -0.4589 Ry per atom.


First-principles (PBE) data for crystalline CaGa5Cu3 at its relaxed geometry, as listed in Alexandria via LeMat-Bulk.

a = 3.9657 Å, b = 6.5766 Å, c = 12.8724 Å
α = 90.00°, β = 90.00°, γ = 107.55°
Last column: nearest neighbours and their distance in Å.
Positions (direct):
Ca (0.8469, 0.6938, 0.7500)  7 Cu 3.32-3.61, 8 Ga 3.51-3.56
Cu (0.3894, 0.7789, 0.9552)  5 Ga 2.39-2.63
Ga (0.7997, 0.5994, 0.0696)  2 Cu 2.39-2.46, 1 Ga 2.67
Cu (0.6106, 0.2211, 0.4552)  5 Ga 2.39-2.63
Ca (0.1531, 0.3062, 0.2500)  7 Cu 3.32-3.61, 8 Ga 3.51-3.56
Cu (0.8655, 0.7310, 0.2500)  6 Ga 2.46-2.55
Ga (0.0000, 0.0000, 0.0000)  4 Cu 2.49, 2 Ga 2.67
Ga (0.4454, 0.8907, 0.3480)  4 Cu 2.49-2.63, 1 Ga 2.52
Ga (0.2003, 0.4006, 0.5696)  2 Cu 2.39-2.46, 1 Ga 2.67
Ga (0.4454, 0.8907, 0.1520)  4 Cu 2.49-2.63, 1 Ga 2.52
Cu (0.3894, 0.7789, 0.5448)  5 Ga 2.39-2.63
Ga (0.5546, 0.1093, 0.6520)  4 Cu 2.49-2.63, 1 Ga 2.52
Ga (0.7997, 0.5994, 0.4304)  2 Cu 2.39-2.46, 1 Ga 2.67
Cu (0.6106, 0.2211, 0.0448)  5 Ga 2.39-2.63
Ga (0.0000, 0.0000, 0.5000)  4 Cu 2.49, 2 Ga 2.67
Ga (0.5546, 0.1093, 0.8480)  4 Cu 2.49-2.63, 1 Ga 2.52
Cu (0.1345, 0.2690, 0.7500)  6 Ga 2.46-2.55
Ga (0.2003, 0.4006, 0.9304)  2 Cu 2.39-2.46, 1 Ga 2.67

Properties
As for the formation energy from the elements: -184.8 meV per atom. The total DFT energy (no corrections) comes out at -0.2539 Ry per atom.


First-principles (PBE) data for crystalline NaHoHg2 at its relaxed geometry, as listed in Alexandria via LeMat-Bulk.

a = 3.6966 Å, b = 3.6966 Å, c = 9.5636 Å
α = 78.86°, β = 78.86°, γ = 60.00°
Last column: nearest neighbours and their distance in Å.
Positions (direct):
Hg (0.2526, 0.2526, 0.2422)  3 Ho 3.11, 3 Na 3.21
Hg (0.7474, 0.7474, 0.7578)  3 Ho 3.11, 3 Na 3.21
Na (0.5000, 0.5000, 0.5000)  6 Hg 3.21
Ho (0.0000, 0.0000, 0.0000)  6 Hg 3.11

Properties
As for the formation energy from the elements: -220.1 meV per atom. The total DFT energy (no corrections) comes out at -0.1356 Ry per atom.